# 1
DFT (GGA-PBE) results for an optimized crystal structure of Y2Tl5Br12.

Values from the calculation:
E_form (uncorrected) = -1.22 eV/atom
Density = 4.85 g/cm3
Calculated volume = 739.8 Å³/cell
Total magnetic moment = 0.0 μB/cell

Lattice parameters (Å, degrees): 8.4168 9.9003 10.3987 107.50 90.00 115.16
With the nearest neighbours (Å) after each atom.
Sites, in units of the cell vectors:
Tl1 0.0000 0.0000 0.5000  6 Br 3.01-3.30
Br1 0.4939 0.9878 0.8080  2 Y 2.86
Br2 0.9963 0.9927 0.8154  2 Y 2.85
Tl2 0.7174 0.4348 0.3758  7 Br 3.29-3.63
Tl3 0.6861 0.3722 0.8149  7 Br 3.34-3.57
Br3 0.5741 0.6749 0.9165  1 Y 2.75
Br4 0.6271 0.7388 0.4435  3 Tl 3.01-3.34
Br5 0.8883 0.2612 0.5565  3 Tl 3.01-3.34
Br6 0.4259 0.3251 0.0835  1 Y 2.75
Br7 0.1008 0.6749 0.9165  1 Y 2.75
Br8 0.0037 0.0073 0.1846  2 Y 2.85
Tl4 0.2826 0.5652 0.6242  7 Br 3.29-3.63
Br9 0.1117 0.7388 0.4435  3 Tl 3.01-3.34
Br10 0.8992 0.3251 0.0835  1 Y 2.75
Br11 0.3729 0.2612 0.5565  3 Tl 3.01-3.34
Br12 0.5061 0.0122 0.1920  2 Y 2.86
Tl5 0.3139 0.6278 0.1851  7 Br 3.34-3.57
Y1 0.2523 0.0000 0.0000  6 Br 2.75-2.86
Y2 0.7477 0.0000 0.0000  6 Br 2.75-2.86

# 2
DFT (GGA-PBE) results for an optimized crystal structure of YTlBr2.

Values from the calculation:
E_form (uncorrected) = -0.72 eV/atom
Density = 6.86 g/cm3
Calculated volume = 109.7 Å³/cell
Total magnetic moment = 0.0 μB/cell
Relative energy among the computed polymorphs = 374 meV/atom

Lattice parameters (Å, degrees): 5.7547 5.7547 5.7547 129.82 129.82 73.70
With the nearest neighbours (Å) after each atom.
Sites, in units of the cell vectors:
Y1 0.7500 0.2500 0.5000  8 Br 3.36, 4 Tl 3.45
Br1 0.0000 0.0000 0.0000  4 Tl 3.36, 4 Y 3.36, 4 Br 3.45
Br2 0.5000 0.5000 0.0000  4 Y 3.36, 4 Tl 3.36, 4 Br 3.45
Tl1 0.2500 0.7500 0.5000  8 Br 3.36, 4 Y 3.45

# 3
DFT (GGA-PBE) results for an optimized crystal structure of YTlBr.

Values from the calculation:
E_form (uncorrected) = -0.62 eV/atom
Density = 6.24 g/cm3
Calculated volume = 99.4 Å³/cell
Total magnetic moment = 0.0 μB/cell
Relative energy among the computed polymorphs = 127 meV/atom

Lattice parameters (Å, degrees): 8.8133 8.4487 3.6901 83.26 72.17 24.57
With the nearest neighbours (Å) after each atom.
Sites, in units of the cell vectors:
Tl1 0.3126 0.3126 0.6874  2 Y 3.19
Y1 0.6573 0.6573 0.3427  2 Br 2.84
Br1 0.0301 0.0301 0.9699  2 Y 2.84

# 4
DFT (GGA-PBE) results for an optimized crystal structure of Y2TlBr2.

Values from the calculation:
E_form (uncorrected) = -0.65 eV/atom
Density = 6.75 g/cm3
Calculated volume = 266.6 Å³/cell
Total magnetic moment = 0.0 μB/cell
Relative energy among the computed polymorphs = 500 meV/atom

Lattice parameters (Å, degrees): 8.9273 8.9273 3.3451 90.00 90.00 90.00
With the nearest neighbours (Å) after each atom.
Sites, in units of the cell vectors:
Br1 0.8775 0.6225 0.0000  6 Y 3.02-3.21, 3 Br 3.09-3.35
Br2 0.1225 0.3775 0.0000  6 Y 3.02-3.21, 3 Br 3.09-3.35
Br3 0.6225 0.1225 0.0000  6 Y 3.02-3.21, 3 Br 3.09-3.35
Y1 0.6787 0.8213 0.5000  6 Br 3.02-3.21, 2 Y 3.35
Tl1 0.0000 0.0000 0.0000  2 Tl 3.35, 4 Br 3.54, 8 Y 3.68
Y2 0.8213 0.3213 0.5000  6 Br 3.02-3.21, 2 Y 3.35
Br4 0.3775 0.8775 0.0000  6 Y 3.02-3.21, 3 Br 3.09-3.35
Y3 0.1787 0.6787 0.5000  6 Br 3.02-3.21, 2 Y 3.35
Tl2 0.5000 0.5000 0.0000  2 Tl 3.35, 4 Br 3.54, 8 Y 3.68
Y4 0.3213 0.1787 0.5000  6 Br 3.02-3.21, 2 Y 3.35

# 5
DFT (GGA-PBE) results for an optimized crystal structure of YTl2Br.

Values from the calculation:
E_form (uncorrected) = -0.48 eV/atom
Density = 8.21 g/cm3
Calculated volume = 116.8 Å³/cell
Total magnetic moment = 0.0 μB/cell
Relative energy among the computed polymorphs = 105 meV/atom

Lattice parameters (Å, degrees): 5.1251 3.7157 6.4186 72.92 90.00 90.00
With the nearest neighbours (Å) after each atom.
Sites, in units of the cell vectors:
Tl1 0.0000 0.9421 0.9857  3 Y 3.21-3.47, 4 Br 3.52
Y1 0.0000 0.6851 0.5086  2 Br 2.91, 1 Tl 3.21
Br1 0.5000 0.5692 0.7339  2 Y 2.91
Tl2 0.5000 0.3037 0.2719  3 Br 3.30-3.39, 4 Y 3.48-3.49, 4 Tl 3.61-3.63

# 6
DFT (GGA-PBE) results for an optimized crystal structure of Y2TlBr.

Values from the calculation:
E_form (uncorrected) = -0.55 eV/atom
Density = 5.98 g/cm3
Calculated volume = 128.3 Å³/cell
Total magnetic moment = 0.9 μB/cell
Relative energy among the computed polymorphs = 138 meV/atom

Lattice parameters (Å, degrees): 10.9447 10.9447 10.9447 19.55 19.55 19.55
With the nearest neighbours (Å) after each atom.
Sites, in units of the cell vectors:
Tl1 0.7437 0.7437 0.7437  3 Y 3.33, 6 Tl 3.72
Br1 0.5149 0.5149 0.5149  3 Y 2.93
Y1 0.9980 0.9980 0.9980  3 Tl 3.33, 9 Y 3.55-3.72
Y2 0.2434 0.2434 0.2434  3 Br 2.93

# 7
DFT (GGA-PBE) results for an optimized crystal structure of YTlBr2.

Values from the calculation:
E_form (uncorrected) = -1.03 eV/atom
Density = 5.46 g/cm3
Calculated volume = 137.7 Å³/cell
Total magnetic moment = 0.3 μB/cell
Relative energy among the computed polymorphs = 66 meV/atom

Lattice parameters (Å, degrees): 6.6566 6.6566 6.7450 59.71 59.71 32.80
With the nearest neighbours (Å) after each atom.
Sites, in units of the cell vectors:
Br1 0.7337 0.7337 0.7988  2 Y 2.82
Br2 0.9209 0.9209 0.1410  2 Y 2.82
Tl1 0.5568 0.5568 0.5164  3 Y 3.40-3.54, 1 Br 3.64, 2 Tl 3.76
Y1 0.2886 0.2886 0.0439  4 Br 2.82

# 8
DFT (GGA-PBE) results for an optimized crystal structure of YTl2Br.

Values from the calculation:
E_form (uncorrected) = -0.45 eV/atom
Density = 7.90 g/cm3
Calculated volume = 121.4 Å³/cell
Total magnetic moment = 0.0 μB/cell
Relative energy among the computed polymorphs = 136 meV/atom

Lattice parameters (Å, degrees): 7.7578 7.7578 4.7964 71.99 71.99 26.33
With the nearest neighbours (Å) after each atom.
Sites, in units of the cell vectors:
Tl1 0.9487 0.9487 0.0514  6 Tl 3.32-3.53, 2 Y 3.35
Br1 0.7500 0.7500 0.7500  4 Y 2.98
Tl2 0.5513 0.5513 0.4486  6 Tl 3.32-3.53, 2 Y 3.35
Y1 0.2500 0.2500 0.2500  4 Br 2.98

# 9
DFT (GGA-PBE) results for an optimized crystal structure of Y2Tl2Br.

Values from the calculation:
E_form (uncorrected) = -0.22 eV/atom
Density = 7.26 g/cm3
Calculated volume = 152.4 Å³/cell
Total magnetic moment = 0.6 μB/cell
Relative energy among the computed polymorphs = 399 meV/atom

Lattice parameters (Å, degrees): 4.3018 4.3018 8.7805 75.82 75.82 90.00
With the nearest neighbours (Å) after each atom.
Sites, in units of the cell vectors:
Y1 0.3932 0.3932 0.2136  4 Tl 3.19, 4 Br 3.51, 1 Y 3.52
Br1 0.0000 0.0000 0.0000  8 Y 3.51
Tl1 0.2500 0.7500 0.5000  4 Tl 3.04, 4 Y 3.19
Tl2 0.7500 0.2500 0.5000  4 Tl 3.04, 4 Y 3.19
Y2 0.6068 0.6068 0.7864  4 Tl 3.19, 4 Br 3.51, 1 Y 3.52

# 10
DFT (GGA-PBE) results for an optimized crystal structure of YTlBr.

Values from the calculation:
E_form (uncorrected) = -0.57 eV/atom
Density = 7.22 g/cm3
Calculated volume = 85.8 Å³/cell
Total magnetic moment = 0.0 μB/cell
Relative energy among the computed polymorphs = 178 meV/atom

Lattice parameters (Å, degrees): 5.0313 5.0313 3.9134 90.00 90.00 120.00
With the nearest neighbours (Å) after each atom.
Sites, in units of the cell vectors:
Tl1 0.6667 0.3333 0.3333  6 Y 3.50, 6 Br 3.50, 2 Tl 3.91
Br1 0.0000 0.0000 0.8332  3 Y 2.90
Y1 0.3333 0.6667 0.8335  3 Br 2.90

# 11
DFT (GGA-PBE) results for an optimized crystal structure of Y2Tl2Br.

Values from the calculation:
E_form (uncorrected) = -0.62 eV/atom
Density = 7.72 g/cm3
Calculated volume = 286.6 Å³/cell
Total magnetic moment = 0.0 μB/cell
Relative energy among the computed polymorphs = 0 meV/atom

Lattice parameters (Å, degrees): 7.7301 7.7301 4.7955 90.00 90.00 90.00
With the nearest neighbours (Å) after each atom.
Sites, in units of the cell vectors:
Y1 0.1617 0.3383 0.0000  2 Br 2.90, 2 Tl 3.21
Tl1 0.6433 0.8567 0.5000  1 Tl 3.13, 6 Y 3.21-3.37
Y2 0.3383 0.8383 0.0000  2 Br 2.90, 2 Tl 3.21
Tl2 0.3567 0.1433 0.5000  1 Tl 3.13, 6 Y 3.21-3.37
Y3 0.6617 0.1617 0.0000  2 Br 2.90, 2 Tl 3.21
Tl3 0.1433 0.6433 0.5000  1 Tl 3.13, 6 Y 3.21-3.37
Br1 0.0000 0.0000 0.0000  4 Y 2.90
Br2 0.5000 0.5000 0.0000  4 Y 2.90
Y4 0.8383 0.6617 0.0000  2 Br 2.90, 2 Tl 3.21
Tl4 0.8567 0.3567 0.5000  1 Tl 3.13, 6 Y 3.21-3.37

# 12
DFT (GGA-PBE) results for an optimized crystal structure of Y2TlBr.

Values from the calculation:
E_form (uncorrected) = -0.55 eV/atom
Density = 6.67 g/cm3
Calculated volume = 115.1 Å³/cell
Total magnetic moment = 0.0 μB/cell
Relative energy among the computed polymorphs = 144 meV/atom

Lattice parameters (Å, degrees): 3.6388 3.6388 9.7067 90.00 90.00 116.43
With the nearest neighbours (Å) after each atom.
Sites, in units of the cell vectors:
Y1 0.0000 0.0000 0.0038  2 Br 3.06, 2 Tl 3.12
Y2 0.0000 0.0000 0.4962  2 Br 3.06, 2 Tl 3.12
Tl1 0.5000 0.5000 0.7500  4 Y 3.12
Br1 0.5000 0.5000 0.2500  4 Y 3.06